# 1
MgNiIr2 | GGA-PBE | optimized geometry

a = 2.7573 Å, b = 2.7573 Å, c = 7.5329 Å
α = 90.00°, β = 90.00°, γ = 90.00°
With the nearest neighbours (Å) after each atom.
Fractional positions:
1 Mg 0.0000 0.0000 0.0000  4 Ni 2.74, 4 Mg 2.76, 4 Ir 2.83
2 Ni 0.5000 0.5000 0.2550  4 Ir 2.60, 4 Mg 2.74, 4 Ni 2.76
3 Ir 0.0000 0.0000 0.4832  4 Ni 2.60, 8 Ir 2.68-2.76
4 Ir 0.5000 0.5000 0.7274  8 Ir 2.68-2.76, 4 Mg 2.83

Summary:
The magnetic moment is 0.00 μB per formula unit. The calculation puts the uncorrected energy at -25.49 eV for the cell shown. As for the density of states at the Fermi level: 0.876 states/eV/atom. As for the space group: No. 99.

=====

# 2
MgNi2Ir | GGA-PBE | optimized geometry

a = 3.0102 Å, b = 3.0102 Å, c = 5.8868 Å
α = 90.00°, β = 90.00°, γ = 90.00°
With the nearest neighbours (Å) after each atom.
Fractional positions:
1 Mg 0.0000 0.0000 0.0000  5 Ni 2.64-2.79, 4 Ir 2.73
2 Ni 0.0000 0.0000 0.4748  4 Ni 2.46, 4 Ir 2.54
3 Ni 0.5000 0.5000 0.2639  4 Ni 2.46, 1 Ir 2.63, 4 Mg 2.64
4 Ir 0.5000 0.5000 0.7109  5 Ni 2.54-2.63, 4 Mg 2.73

Summary:
The magnetic moment is 1.67 μB per formula unit. The calculation puts the uncorrected energy at -22.14 eV for the cell shown. As for the density of states at the Fermi level: 1.125 states/eV/atom. As for the space group: No. 99.

=====

# 3
MgNi2Ir2 | GGA-PBE | optimized geometry

a = 7.1946 Å, b = 7.1946 Å, c = 2.7187 Å
α = 90.00°, β = 90.00°, γ = 90.00°
With the nearest neighbours (Å) after each atom.
Fractional positions:
1 Mg 0.0000 0.0000 0.0000  2 Mg 2.72, 4 Ni 2.87, 8 Ir 2.98
2 Mg 0.5000 0.5000 0.0000  2 Mg 2.72, 4 Ni 2.87, 8 Ir 2.98
3 Ni 0.1202 0.3798 0.0000  3 Ni 2.45-2.72, 6 Ir 2.48-2.56
4 Ni 0.3798 0.8798 0.0000  3 Ni 2.45-2.72, 6 Ir 2.48-2.56
5 Ni 0.6202 0.1202 0.0000  3 Ni 2.45-2.72, 6 Ir 2.48-2.56
6 Ni 0.8798 0.6202 0.0000  3 Ni 2.45-2.72, 6 Ir 2.48-2.56
7 Ir 0.1764 0.6764 0.5000  6 Ni 2.48-2.56, 2 Ir 2.72
8 Ir 0.3236 0.1764 0.5000  6 Ni 2.48-2.56, 2 Ir 2.72
9 Ir 0.6764 0.8236 0.5000  6 Ni 2.48-2.56, 2 Ir 2.72
10 Ir 0.8236 0.3236 0.5000  6 Ni 2.48-2.56, 2 Ir 2.72

Summary:
The magnetic moment is 0.00 μB per formula unit. The calculation puts the uncorrected energy at -61.62 eV for the cell shown. As for the density of states at the Fermi level: 1.246 states/eV/atom. As for the space group: No. 127. The calculation puts the energy above the lowest structure with this stoichiometry at 0.0 meV per atom.

=====

# 4
MgNi2Ir | GGA-PBE | optimized geometry

a = 2.6627 Å, b = 2.6627 Å, c = 7.3988 Å
α = 90.00°, β = 90.00°, γ = 94.78°
With the nearest neighbours (Å) after each atom.
Fractional positions:
1 Mg 0.0000 0.0000 0.0000  4 Ni 2.64-2.75, 4 Mg 2.66, 4 Ir 2.76-2.86
2 Ni 0.0000 0.0000 0.5214  8 Ni 2.42-2.66, 4 Ir 2.53-2.64
3 Ni 0.5000 0.5000 0.7396  8 Ni 2.42-2.66, 2 Mg 2.64
4 Ir 0.5000 0.5000 0.2820  4 Ni 2.53-2.64, 4 Ir 2.66, 2 Mg 2.76

Summary:
The magnetic moment is 1.00 μB per formula unit. The calculation puts the uncorrected energy at -22.06 eV for the cell shown. As for the density of states at the Fermi level: 1.205 states/eV/atom. As for the space group: No. 35.

=====

# 5
MgNi4Ir2 | GGA-PBE | optimized geometry

a = 6.7829 Å, b = 6.7829 Å, c = 6.7829 Å
α = 143.28°, β = 143.28°, γ = 52.91°
With the nearest neighbours (Å) after each atom.
Fractional positions:
1 Mg 0.0000 0.0000 0.0000  4 Ni 2.14
2 Ni 0.0000 0.5000 0.5000  2 Mg 2.14
3 Ni 0.2014 0.2014 0.0000  1 Ir 2.31, 1 Mg 2.45
4 Ni 0.5000 0.0000 0.5000  2 Mg 2.14
5 Ni 0.7986 0.7986 0.0000  1 Ir 2.31, 1 Mg 2.45
6 Ir 0.3920 0.3920 0.0000  5 Ni 2.31-2.51
7 Ir 0.6080 0.6080 0.0000  5 Ni 2.31-2.51

Summary:
The magnetic moment is 0.00 μB per formula unit. The calculation puts the uncorrected energy at -35.30 eV for the cell shown. As for the density of states at the Fermi level: 1.860 states/eV/atom. As for the space group: No. 139.